[1]
Compound: CsCa2TlCr
Source: the Alexandria database
Functional: GGA-PBE
Structure: relaxed

Crystal system: tetragonal
SG: No. 123
E: -2.36 eV per atom

Cell lengths 5.699, 5.818, 5.699 Å; angles 90.00, 90.00, 90.00 degrees
Fractional positions:
Ca1 0.000 0.000 0.500
Tl1 0.500 0.500 0.500
Cs1 0.000 0.500 0.000
Ca2 0.500 0.000 0.000
Cr1 0.000 0.000 0.000

=====

[2]
Compound: CaCrCu2
Source: the Alexandria database
Functional: GGA-PBE
Structure: relaxed

Polymorph energy (0 for the lowest one): 0.57 eV/f.u.
Crystal system: tetragonal
SG: No. 99

Cell lengths 3.263, 3.263, 6.717 Å; angles 90.00, 90.00, 90.00 degrees
Fractional positions:
Cr1 0.500 0.500 0.817
Ca1 0.000 0.000 0.480
Cu1 0.500 0.500 0.191
Cu2 0.000 0.000 0.012

=====

[3]
Compound: CaCr2Cu
Source: the Alexandria database
Functional: GGA-PBE
Structure: relaxed

Polymorph energy (0 for the lowest one): 0.18 eV/f.u.
Crystal system: trigonal
SG: No. 160

Cell lengths 4.229, 4.229, 5.792 Å; angles 68.60, 68.60, 59.96 degrees
Fractional positions:
Cr1 0.946 0.946 0.163
Cr2 0.261 0.261 0.217
Ca1 0.749 0.749 0.753
Cu1 0.545 0.545 0.367

=====

It is found that the density of states at the Fermi level values, taken in the order of the records, are 6.45, 2.57, 3.34 states/eV per cell.
It is found that the spin magnetization values, taken in the order of the records, are 0.14, 3.81, 0.03 μB/f.u..